(1)
MgTaSnN | Alexandria | GGA-PBE | relaxed; Fermi-level density of states = 0.2273 states/eV/atom; volume = 20.2 A^3/atom; distance to the lowest polymorph of the same formula = 0.3464 eV per atom; SG = R3m, No. 160; ΔE_f (raw) = -0.162 eV/atom; spin magnetization = 0.000 μB/atom
1.0
-2.284 0.273 2.295
2.943 -1.146 0.765
8.235 24.667 5.259
N Sn Mg Ta
3 3 3 3
direct
0.000 0.000 0.789 N
0.333 0.667 0.456 N
0.667 0.333 0.123 N
0.000 0.000 0.258 Sn
0.667 0.333 0.592 Sn
0.333 0.667 0.925 Sn
0.667 0.333 0.352 Mg
0.000 0.000 0.019 Mg
0.333 0.667 0.685 Mg
0.333 0.667 0.817 Ta
0.667 0.333 0.484 Ta
0.000 0.000 0.150 Ta

=====

(2)
MgTaSnN | Alexandria | GGA-PBE | relaxed; Fermi-level density of states = 0.3283 states/eV/atom; volume = 17.7 A^3/atom; distance to the lowest polymorph of the same formula = 0.2699 eV per atom; SG = Imm2, No. 44; ΔE_f (raw) = -0.238 eV/atom; spin magnetization = 0.000 μB/atom
1.0
3.098 0.000 0.000
0.000 5.668 0.000
0.000 0.000 8.082
Mg Ta N Sn
2 2 2 2
direct
0.500 0.000 0.648 Mg
0.000 0.500 0.148 Mg
0.000 0.500 0.792 Ta
0.500 0.000 0.292 Ta
0.500 0.500 0.943 N
0.000 0.000 0.443 N
0.500 0.500 0.480 Sn
0.000 0.000 0.980 Sn

=====

(3)
MgTaSnN | Alexandria | GGA-PBE | relaxed; Fermi-level density of states = 0.3488 states/eV/atom; volume = 15.7 A^3/atom; distance to the lowest polymorph of the same formula = 0.0000 eV per atom; SG = Cm, No. 8; ΔE_f (raw) = -0.508 eV/atom; spin magnetization = 0.000 μB/atom
1.0
7.671 0.000 0.008
0.000 3.121 0.000
-1.271 0.000 5.237
Sn N Mg Ta
2 2 2 2
direct
0.843 0.500 0.158 Sn
0.843 0.000 0.658 Sn
0.343 0.000 0.157 N
0.343 0.500 0.657 N
0.190 0.500 0.939 Mg
0.190 0.000 0.439 Mg
0.523 0.000 0.884 Ta
0.523 0.500 0.384 Ta

=====

(4)
MgTaSnN | Alexandria | GGA-PBE | relaxed; Fermi-level density of states = 0.4597 states/eV/atom; volume = 15.8 A^3/atom; distance to the lowest polymorph of the same formula = 0.1237 eV per atom; SG = P3m1, No. 156; ΔE_f (raw) = -0.384 eV/atom; spin magnetization = 0.000 μB/atom
1.0
-0.283 -1.383 2.751
-0.064 -1.685 -2.591
7.584 -0.838 0.358
Sn Ta N Mg
1 1 1 1
direct
0.000 0.000 0.779 Sn
0.667 0.333 0.468 Ta
0.333 0.667 0.289 N
0.667 0.333 0.115 Mg

=====

(5)
MgTaSnN | Alexandria | GGA-PBE | relaxed; Fermi-level density of states = 0.4289 states/eV/atom; volume = 18.0 A^3/atom; distance to the lowest polymorph of the same formula = 0.1727 eV per atom; SG = P1, No. 1; ΔE_f (raw) = -0.335 eV/atom; spin magnetization = 0.000 μB/atom
1.0
-3.087 -0.976 -0.170
-1.618 -0.754 2.703
-3.967 6.942 1.504
Ta N Mg Sn
1 1 1 1
direct
0.594 0.580 0.525 Ta
0.518 0.501 0.758 N
0.816 0.798 0.864 Mg
0.034 0.021 0.203 Sn

=====

(6)
MgTaSnN | Alexandria | GGA-PBE | relaxed; Fermi-level density of states = 0.3422 states/eV/atom; volume = 15.7 A^3/atom; distance to the lowest polymorph of the same formula = 0.0053 eV per atom; SG = R3m, No. 160; ΔE_f (raw) = -0.503 eV/atom; spin magnetization = 0.000 μB/atom
1.0
-0.573 0.668 -2.986
-0.221 -2.937 1.008
-21.588 3.300 4.879
Mg N Sn Ta
3 3 3 3
direct
0.333 0.667 0.288 Mg
0.667 0.333 0.954 Mg
0.000 0.000 0.621 Mg
0.333 0.667 0.672 N
0.000 0.000 0.006 N
0.667 0.333 0.339 N
0.000 0.000 0.172 Sn
0.333 0.667 0.839 Sn
0.667 0.333 0.506 Sn
0.333 0.667 0.066 Ta
0.000 0.000 0.399 Ta
0.667 0.333 0.732 Ta

=====

(7)
MgTaSnN | Alexandria | GGA-PBE | relaxed; Fermi-level density of states = 0.5745 states/eV/atom; volume = 18.3 A^3/atom; distance to the lowest polymorph of the same formula = 0.1463 eV per atom; SG = P1, No. 1; ΔE_f (raw) = -0.362 eV/atom; spin magnetization = 0.000 μB/atom
1.0
2.997 0.000 0.005
0.000 3.024 -0.022
-0.036 -1.538 8.073
N Sn Ta Mg
1 1 1 1
direct
0.474 0.707 0.604 N
0.975 0.003 0.235 Sn
0.974 0.213 0.612 Ta
0.476 0.865 0.900 Mg

=====

(8)
MgTaSnN | Alexandria | GGA-PBE | relaxed; Fermi-level density of states = 0.2693 states/eV/atom; volume = 16.9 A^3/atom; distance to the lowest polymorph of the same formula = 0.4160 eV per atom; SG = Imm2, No. 44; ΔE_f (raw) = -0.092 eV/atom; spin magnetization = 0.000 μB/atom
1.0
-0.638 -3.169 1.686
0.707 -1.544 -2.636
11.317 -0.505 3.330
Ta N Sn Mg
2 2 2 2
direct
0.500 0.500 0.160 Ta
0.000 0.000 0.660 Ta
0.500 0.500 0.996 N
0.000 0.000 0.496 N
0.500 0.500 0.797 Sn
0.000 0.000 0.297 Sn
0.500 0.500 0.496 Mg
0.000 0.000 0.996 Mg